A geometry-optimized DyNpIrPd structure, computed with PBE.

Computed properties:
Electronic total energy: -8.379 eV/atom
Spin magnetization: 1.059 μB/atom
DFT formation energy: -0.479 eV/atom
Calculated volume: 20.744 Å³ per atom
SG: F-43m (216)
N(E_F): 9.28 states/eV/cell

Cell lengths 4.896, 4.896, 4.896 Å; angles 60.00, 60.00, 60.00 degrees
Element x y z (fractional)
Np 0.000 0.000 0.000
Ir 0.750 0.750 0.750
Pd 0.250 0.250 0.250
Dy 0.500 0.500 0.500